DFT (PBE) results for a relaxed LiNdMg11 crystal.

Output
uncorrected energy = -24.845 eV/cell
energy of formation = -0.0479 eV per atom
M_tot = 0.00 Bohr magnetons per cell

CIF file:
```
data_LiNdMg11
_chemical_formula_sum 'Li1 Nd1 Mg11'
_cell_length_a 7.8186
_cell_length_b 7.8186
_cell_length_c 7.7921
_cell_angle_alpha 97.74
_cell_angle_beta 97.74
_cell_angle_gamma 136.19
_symmetry_space_group_name_H-M 'P 1'
_symmetry_Int_Tables_number 1
loop_
_symmetry_equiv_pos_as_xyz
'x,y,z'
loop_
_atom_site_label
_atom_site_type_symbol
_atom_site_fract_x
_atom_site_fract_y
_atom_site_fract_z
Li1 Li 0.0000 0.0000 0.0000
Nd1 Nd 0.5000 0.5000 0.5000
Mg1 Mg 0.0000 0.5000 0.5000
Mg2 Mg 0.0047 0.7943 0.2841
Mg3 Mg 0.1476 0.4964 0.1464
Mg4 Mg 0.2057 0.9953 0.7159
Mg5 Mg 0.4964 0.1476 0.1464
Mg6 Mg 0.5000 0.0000 0.5000
Mg7 Mg 0.5000 0.5000 0.0000
Mg8 Mg 0.5036 0.8524 0.8536
Mg9 Mg 0.7943 0.0047 0.2841
Mg10 Mg 0.8524 0.5036 0.8536
Mg11 Mg 0.9953 0.2057 0.7159
```